(i)
NaTl2BiH | GGA-PBE | optimized geometry

a b c (Å): 5.324 5.324 4.547
angles (deg): 90.00 90.00 90.00
Space group P4/mmm (No. 123)
One atom of each set of equivalent atoms:
Na 0.000 0.000 0.000 [1 per cell]
Tl 0.000 0.500 0.500 [2 per cell]
Bi 0.500 0.500 0.000 [1 per cell]
H 0.500 0.500 0.500 [1 per cell]

Results
Its magnetic moment is 0.00 μB/cell. The density of states at the Fermi level comes out at 1.2 states/eV/f.u.

=====

(ii)
NaTl2BiH | GGA-PBE | optimized geometry

a b c (Å): 5.140 5.140 4.682
angles (deg): 90.00 90.00 90.00
Space group P4/mmm (No. 123)
One atom of each set of equivalent atoms:
Na 0.000 0.000 0.000 [1 per cell]
Tl 0.000 0.500 0.500 [2 per cell]
Bi 0.500 0.500 0.000 [1 per cell]
H 0.000 0.000 0.500 [1 per cell]

Results
Its magnetic moment is 0.00 μB/cell. The density of states at the Fermi level comes out at 1.8 states/eV/f.u.

=====

Tell me which of them is the most stable. Sure, it is (ii).

=====

(i)
Nb2BiH | GGA-PBE | optimized geometry

a b c (Å): 3.1113 3.1113 25.0691
angles (deg): 90.00 90.00 120.00
Space group R-3m (No. 166, hexagonal axes)
One atom of each set of equivalent atoms:
Nb 0.0000 0.0000 0.1158 [6 per cell]
Bi 0.0000 0.0000 0.0000 [3 per cell]
H 0.0000 0.0000 0.5000 [3 per cell]

Results
Its magnetic moment is 0.00 μB/cell. The density of states at the Fermi level comes out at 4.5 states/eV/f.u.

=====

(ii)
Nb2BiH | GGA-PBE | optimized geometry

a b c (Å): 6.578 6.578 6.578
angles (deg): 90.00 90.00 90.00
Space group Fm-3m (No. 225)
One atom of each set of equivalent atoms:
Nb 0.250 0.250 0.250 [8 per cell]
Bi 0.000 0.000 0.000 [4 per cell]
H 0.000 0.000 0.500 [4 per cell]

Results
Its magnetic moment is 1.49 μB/cell. The density of states at the Fermi level comes out at 6.1 states/eV/f.u.

=====

Tell me which of them is the most stable. Sure, it is (i).

=====

(i)
Nb3BiH | GGA-PBE | optimized geometry

a b c (Å): 5.226 5.226 5.226
angles (deg): 90.00 90.00 90.00
Space group Pm-3m (No. 221)
One atom of each set of equivalent atoms:
Nb 0.000 0.000 0.500 [3 per cell]
Bi 0.000 0.000 0.000 [1 per cell]
H 0.500 0.500 0.500 [1 per cell]

Results
Its magnetic moment is 0.00 μB/cell. The density of states at the Fermi level comes out at 6.6 states/eV/f.u.

=====

(ii)
Nb3BiH | GGA-PBE | optimized geometry

a b c (Å): 4.309 4.309 4.309
angles (deg): 90.00 90.00 90.00
Space group Pm-3m (No. 221)
One atom of each set of equivalent atoms:
Nb 0.000 0.000 0.500 [3 per cell]
Bi 0.500 0.500 0.500 [1 per cell]
H 0.000 0.000 0.000 [1 per cell]

Results
Its magnetic moment is 0.00 μB/cell. The density of states at the Fermi level comes out at 4.1 states/eV/f.u.

=====

Tell me which of them is the most stable. Sure, it is (ii).

=====

(i)
NiBiH | GGA-PBE | optimized geometry

a b c (Å): 3.562 3.562 7.419
angles (deg): 90.00 90.00 90.00
Space group P4/nmm (No. 129, origin choice 2)
One atom of each set of equivalent atoms:
Ni 0.250 0.750 0.000 [2 per cell]
Bi 0.250 0.250 0.272 [2 per cell]
H 0.250 0.250 0.554 [2 per cell]

Results
Its magnetic moment is 0.00 μB/cell. The density of states at the Fermi level comes out at 1.7 states/eV/f.u.

=====

(ii)
NiBiH | GGA-PBE | optimized geometry

a b c (Å): 3.1699 3.1699 4.9378
angles (deg): 90.00 90.00 120.00
Space group P-6m2 (No. 187)
One atom of each set of equivalent atoms:
Ni 0.0000 0.0000 0.0000 [1 per cell]
Bi 0.3333 0.6667 0.5000 [1 per cell]
H 0.6667 0.3333 0.0000 [1 per cell]

Results
Its magnetic moment is 0.00 μB/cell. The density of states at the Fermi level comes out at 1.1 states/eV/f.u.

=====

(iii)
NiBiH | GGA-PBE | optimized geometry

a b c (Å): 3.288 8.470 6.489
angles (deg): 90.00 103.57 90.00
Space group P2_1/c (No. 14)
One atom of each set of equivalent atoms:
Ni 0.195 0.052 0.360 [4 per cell]
Bi 0.187 0.683 0.535 [4 per cell]
H 0.301 0.012 0.620 [4 per cell]

Results
Its magnetic moment is 0.00 μB/cell. The density of states at the Fermi level comes out at 0.9 states/eV/f.u.

=====

Tell me which of them is the most stable. Sure, it is (iii).

=====

(i)
Ni2BiH | GGA-PBE | optimized geometry

a b c (Å): 3.1256 3.1256 20.5563
angles (deg): 90.00 90.00 120.00
Space group R-3m (No. 166, hexagonal axes)
One atom of each set of equivalent atoms:
Ni 0.0000 0.0000 0.1268 [6 per cell]
Bi 0.0000 0.0000 0.0000 [3 per cell]
H 0.0000 0.0000 0.5000 [3 per cell]

Results
Its magnetic moment is 0.02 μB/cell. The density of states at the Fermi level comes out at 5.9 states/eV/f.u.

=====

(ii)
Ni2BiH | GGA-PBE | optimized geometry

a b c (Å): 6.042 6.042 6.042
angles (deg): 90.00 90.00 90.00
Space group Fm-3m (No. 225)
One atom of each set of equivalent atoms:
Ni 0.250 0.250 0.250 [8 per cell]
Bi 0.000 0.000 0.000 [4 per cell]
H 0.000 0.000 0.500 [4 per cell]

Results
Its magnetic moment is 0.00 μB/cell. The density of states at the Fermi level comes out at 2.7 states/eV/f.u.

=====

Tell me which of them is the most stable. Sure, it is (i).

=====

(i)
Ni3BiH | GGA-PBE | optimized geometry

a b c (Å): 4.900 4.900 4.900
angles (deg): 90.00 90.00 90.00
Space group Pm-3m (No. 221)
One atom of each set of equivalent atoms:
Ni 0.000 0.000 0.500 [3 per cell]
Bi 0.000 0.000 0.000 [1 per cell]
H 0.500 0.500 0.500 [1 per cell]

Results
Its magnetic moment is 0.71 μB/cell. The density of states at the Fermi level comes out at 10.6 states/eV/f.u.

=====

(ii)
Ni3BiH | GGA-PBE | optimized geometry

a b c (Å): 3.879 3.879 3.879
angles (deg): 90.00 90.00 90.00
Space group Pm-3m (No. 221)
One atom of each set of equivalent atoms:
Ni 0.000 0.000 0.500 [3 per cell]
Bi 0.500 0.500 0.500 [1 per cell]
H 0.000 0.000 0.000 [1 per cell]

Results
Its magnetic moment is 0.00 μB/cell. The density of states at the Fermi level comes out at 4.4 states/eV/f.u.

=====

Tell me which of them is the most stable. Sure, it is (ii).

=====

(i)
NiBiHPd2 | GGA-PBE | optimized geometry

a b c (Å): 3.905 3.905 4.772
angles (deg): 90.00 90.00 90.00
Space group P4/mmm (No. 123)
One atom of each set of equivalent atoms:
Ni 0.000 0.000 0.000 [1 per cell]
Bi 0.500 0.500 0.000 [1 per cell]
H 0.500 0.500 0.500 [1 per cell]
Pd 0.000 0.500 0.500 [2 per cell]

Results
Its magnetic moment is 0.00 μB/cell. The density of states at the Fermi level comes out at 4.3 states/eV/f.u.

=====

(ii)
NiBiHPd2 | GGA-PBE | optimized geometry

a b c (Å): 4.087 4.087 4.163
angles (deg): 90.00 90.00 90.00
Space group P4/mmm (No. 123)
One atom of each set of equivalent atoms:
Ni 0.000 0.000 0.000 [1 per cell]
Bi 0.500 0.500 0.000 [1 per cell]
H 0.000 0.000 0.500 [1 per cell]
Pd 0.000 0.500 0.500 [2 per cell]

Results
Its magnetic moment is 0.00 μB/cell. The density of states at the Fermi level comes out at 4.8 states/eV/f.u.

=====

Tell me which of them is the most stable. Sure, it is (ii).

=====

(i)
NpBiH | GGA-PBE | optimized geometry

a b c (Å): 4.480 4.480 7.433
angles (deg): 90.00 90.00 90.00
Space group I4mm (No. 107)
One atom of each set of equivalent atoms:
Np 0.000 0.000 0.000 [2 per cell]
Bi 0.000 0.000 0.567 [2 per cell]
H 0.000 0.000 0.285 [2 per cell]

Results
Its magnetic moment is 9.13 μB/cell. The density of states at the Fermi level comes out at 10.7 states/eV/f.u.

=====

(ii)
NpBiH | GGA-PBE | optimized geometry

a b c (Å): 15.226 3.110 5.730
angles (deg): 90.00 112.05 90.00
Space group C2/m (No. 12)
One atom of each set of equivalent atoms:
Np 0.105 0.000 0.105 [4 per cell]
Bi 0.163 0.500 0.663 [4 per cell]
H 0.000 0.500 0.170 [4 per cell]

Results
Its magnetic moment is 16.67 μB/cell. The density of states at the Fermi level comes out at 5.6 states/eV/f.u.

=====

Tell me which of them is the most stable. Sure, it is (ii).

=====

(i)
NpBiH | GGA-PBE | optimized geometry

a b c (Å): 3.959 4.469 6.865
angles (deg): 90.00 90.00 90.00
Space group Pmmm (No. 47)
One atom of each set of equivalent atoms:
Np 0.000 0.000 0.172 [2 per cell]
Bi 0.000 0.500 0.500 [1 per cell]
Bi 0.500 0.500 0.000 [1 per cell]
H 0.500 0.000 0.292 [2 per cell]

Results
Its magnetic moment is 3.17 μB/cell. The density of states at the Fermi level comes out at 4.9 states/eV/f.u.

=====

(ii)
NpBiH | GGA-PBE | optimized geometry

a b c (Å): 3.8085 3.8085 4.8286
angles (deg): 90.00 90.00 120.00
Space group P-6m2 (No. 187)
One atom of each set of equivalent atoms:
Np 0.0000 0.0000 0.0000 [1 per cell]
Bi 0.6667 0.3333 0.5000 [1 per cell]
H 0.3333 0.6667 0.0000 [1 per cell]

Results
Its magnetic moment is 3.90 μB/cell. The density of states at the Fermi level comes out at 5.0 states/eV/f.u.

=====

Tell me which of them is the most stable. Sure, it is (ii).

=====

(i)
BiH2O | GGA-PBE | optimized geometry

a b c (Å): 5.395 5.395 5.395
angles (deg): 90.00 90.00 90.00
Space group Fm-3m (No. 225)
One atom of each set of equivalent atoms:
Bi 0.000 0.000 0.000 [4 per cell]
H 0.250 0.250 0.250 [8 per cell]
O 0.000 0.000 0.500 [4 per cell]

Results
Its magnetic moment is 0.00 μB/cell. The density of states at the Fermi level comes out at 2.6 states/eV/f.u.

=====

(ii)
BiH2O | GGA-PBE | optimized geometry

a b c (Å): 3.387 3.387 17.663
angles (deg): 90.00 90.00 90.00
Space group I4_1/amd (No. 141, origin choice 2)
One atom of each set of equivalent atoms:
Bi 0.000 0.250 0.375 [4 per cell]
H 0.000 0.000 0.500 [8 per cell]
O 0.000 0.250 0.875 [4 per cell]

Results
Its magnetic moment is 0.00 μB/cell. The density of states at the Fermi level comes out at 0.5 states/eV/f.u.

=====

Tell me which of them is the most stable. Sure, it is (ii).

=====

(i)
BiP2HO | GGA-PBE | optimized geometry

a b c (Å): 5.489 5.489 4.322
angles (deg): 90.00 90.00 90.00
Space group P4/mmm (No. 123)
One atom of each set of equivalent atoms:
Bi 0.000 0.000 0.000 [1 per cell]
P 0.000 0.500 0.000 [2 per cell]
H 0.500 0.500 0.500 [1 per cell]
O 0.000 0.000 0.500 [1 per cell]

Results
Its magnetic moment is 3.95 μB/cell. The density of states at the Fermi level comes out at 4.0 states/eV/f.u.

=====

(ii)
BiP2HO | GGA-PBE | optimized geometry

a b c (Å): 3.512 3.512 5.755
angles (deg): 90.00 90.00 90.00
Space group P4/mmm (No. 123)
One atom of each set of equivalent atoms:
Bi 0.000 0.000 0.000 [1 per cell]
P 0.000 0.500 0.500 [2 per cell]
H 0.500 0.500 0.500 [1 per cell]
O 0.500 0.500 0.000 [1 per cell]

Results
Its magnetic moment is 0.00 μB/cell. The density of states at the Fermi level comes out at 1.7 states/eV/f.u.

=====

Tell me which of them is the most stable. Sure, it is (ii).

=====

(i)
BiH2Os | GGA-PBE | optimized geometry

a b c (Å): 4.438 4.438 10.593
angles (deg): 90.00 90.00 90.00
Space group I-42d (No. 122)
One atom of each set of equivalent atoms:
Bi 0.000 0.000 0.000 [4 per cell]
H 0.008 0.250 0.625 [8 per cell]
Os 0.000 0.000 0.500 [4 per cell]

Results
Its magnetic moment is 0.00 μB/cell. The density of states at the Fermi level comes out at 2.3 states/eV/f.u.

=====

(ii)
BiH2Os | GGA-PBE | optimized geometry

a b c (Å): 5.804 5.804 5.804
angles (deg): 90.00 90.00 90.00
Space group Fm-3m (No. 225)
One atom of each set of equivalent atoms:
Bi 0.000 0.000 0.000 [4 per cell]
H 0.250 0.250 0.250 [8 per cell]
Os 0.000 0.000 0.500 [4 per cell]

Results
Its magnetic moment is 0.00 μB/cell. The density of states at the Fermi level comes out at 5.8 states/eV/f.u.

=====

Tell me which of them is the most stable. Sure, it is (i).